Here is an optimized crystal structure of SmThRu2 from Alexandria. Energies are from PBE-GGA.

```
data_SmThRu2
_chemical_formula_sum 'Sm4 Th4 Ru8'
_cell_length_a 5.9438
_cell_length_b 5.8895
_cell_length_c 10.6910
_cell_angle_alpha 102.46
_cell_angle_beta 90.00
_cell_angle_gamma 90.00
_symmetry_space_group_name_H-M 'P 1'
_symmetry_Int_Tables_number 1
_symmetry_space_group_name_Hall 'P 1'
loop_
_atom_site_label
_atom_site_type_symbol
_atom_site_fract_x
_atom_site_fract_y
_atom_site_fract_z
Th1 Th 0.1354 0.0408 0.8530
Sm1 Sm 0.6320 0.9531 0.6460
Ru1 Ru 0.1228 0.9540 0.6014
Ru2 Ru 0.3386 0.5885 0.4454
Ru3 Ru 0.3386 0.9115 0.0546
Ru4 Ru 0.6614 0.0885 0.9454
Th2 Th 0.8646 0.9592 0.1470
Ru5 Ru 0.6614 0.4115 0.5546
Sm2 Sm 0.3680 0.4531 0.1460
Sm3 Sm 0.6320 0.5469 0.8540
Ru6 Ru 0.8772 0.4540 0.1014
Ru7 Ru 0.1228 0.5460 0.8986
Th3 Th 0.8646 0.5408 0.3530
Ru8 Ru 0.8772 0.0460 0.3986
Sm4 Sm 0.3680 0.0469 0.3540
Th4 Th 0.1354 0.4592 0.6470
```

Summary:
The space group is P2/c. For the total magnetization, the calculation gives 0.000 μB/f.u. Its final energy is -127.45 eV/cell. The value obtained for the formation energy is -0.293 eV per atom.

Here is an optimized crystal structure of SmThRu from Alexandria. Energies are from PBE-GGA.

```
data_SmThRu
_chemical_formula_sum 'Sm2 Th2 Ru2'
_cell_length_a 5.6007
_cell_length_b 5.6007
_cell_length_c 6.9103
_cell_angle_alpha 113.91
_cell_angle_beta 113.91
_cell_angle_gamma 90.00
_symmetry_space_group_name_H-M 'P 1'
_symmetry_Int_Tables_number 1
_symmetry_space_group_name_Hall 'P 1'
loop_
_atom_site_label
_atom_site_type_symbol
_atom_site_fract_x
_atom_site_fract_y
_atom_site_fract_z
Ru1 Ru 0.8380 0.3380 0.6759
Sm1 Sm 0.8331 0.8331 0.6662
Th1 Th 0.0789 0.5789 0.1579
Th2 Th 0.3289 0.3289 0.6579
Sm2 Sm 0.5831 0.0831 0.1662
Ru2 Ru 0.0880 0.0880 0.1759
```

Summary:
The space group is I4_1md. For the total magnetization, the calculation gives 0.000 μB/f.u. Its final energy is -44.19 eV/cell. The value obtained for the formation energy is -0.227 eV per atom.

Here is an optimized crystal structure of SmThRu from Alexandria. Energies are from PBE-GGA.

```
data_SmThRu
_chemical_formula_sum 'Sm1 Th1 Ru1'
_cell_length_a 4.9012
_cell_length_b 4.9012
_cell_length_c 4.9012
_cell_angle_alpha 60.00
_cell_angle_beta 60.00
_cell_angle_gamma 60.00
_symmetry_space_group_name_H-M 'P 1'
_symmetry_Int_Tables_number 1
_symmetry_space_group_name_Hall 'P 1'
loop_
_atom_site_label
_atom_site_type_symbol
_atom_site_fract_x
_atom_site_fract_y
_atom_site_fract_z
Ru1 Ru 0.2500 0.2500 0.2500
Th1 Th 0.5000 0.5000 0.5000
Sm1 Sm 0.0000 0.0000 0.0000
```

Summary:
The space group is F-43m. For the total magnetization, the calculation gives 0.000 μB/f.u. Its final energy is -22.00 eV/cell. The value obtained for the formation energy is -0.196 eV per atom.

Here is an optimized crystal structure of Sm2ThRu from Alexandria. Energies are from PBE-GGA.

```
data_Sm2ThRu
_chemical_formula_sum 'Sm8 Th4 Ru4'
_cell_length_a 6.4533
_cell_length_b 7.2776
_cell_length_c 9.8577
_cell_angle_alpha 90.00
_cell_angle_beta 90.00
_cell_angle_gamma 90.00
_symmetry_space_group_name_H-M 'P 1'
_symmetry_Int_Tables_number 1
_symmetry_space_group_name_Hall 'P 1'
loop_
_atom_site_label
_atom_site_type_symbol
_atom_site_fract_x
_atom_site_fract_y
_atom_site_fract_z
Ru1 Ru 0.4760 0.8681 0.2500
Sm1 Sm 0.1719 0.6736 0.0666
Sm2 Sm 0.1719 0.6736 0.4334
Sm3 Sm 0.8281 0.3264 0.5666
Sm4 Sm 0.6719 0.8264 0.5666
Ru2 Ru 0.5240 0.1319 0.7500
Ru3 Ru 0.0240 0.3681 0.2500
Sm5 Sm 0.3281 0.1736 0.4334
Th1 Th 0.6615 0.5497 0.2500
Th2 Th 0.3385 0.4503 0.7500
Th3 Th 0.8385 0.0497 0.2500
Sm6 Sm 0.6719 0.8264 0.9334
Sm7 Sm 0.3281 0.1736 0.0666
Ru4 Ru 0.9760 0.6319 0.7500
Sm8 Sm 0.8281 0.3264 0.9334
Th4 Th 0.1615 0.9503 0.7500
```

Summary:
The space group is Pnma. For the total magnetization, the calculation gives 0.000 μB/f.u. Its final energy is -109.26 eV/cell. The value obtained for the formation energy is -0.295 eV per atom.

Here is an optimized crystal structure of SmThRu2 from Alexandria. Energies are from PBE-GGA.

```
data_SmThRu2
_chemical_formula_sum 'Sm1 Th1 Ru2'
_cell_length_a 3.5222
_cell_length_b 3.5222
_cell_length_c 7.0417
_cell_angle_alpha 90.00
_cell_angle_beta 90.00
_cell_angle_gamma 90.00
_symmetry_space_group_name_H-M 'P 1'
_symmetry_Int_Tables_number 1
_symmetry_space_group_name_Hall 'P 1'
loop_
_atom_site_label
_atom_site_type_symbol
_atom_site_fract_x
_atom_site_fract_y
_atom_site_fract_z
Th1 Th 0.5000 0.5000 0.0000
Sm1 Sm 0.5000 0.5000 0.5000
Ru1 Ru 0.0000 0.0000 0.7675
Ru2 Ru 0.0000 0.0000 0.2325
```

Summary:
The space group is P4/mmm. For the total magnetization, the calculation gives 0.000 μB/f.u. Its final energy is -32.03 eV/cell. The value obtained for the formation energy is -0.334 eV per atom.

Here is an optimized crystal structure of SmTh2Ru from Alexandria. Energies are from PBE-GGA.

```
data_SmTh2Ru
_chemical_formula_sum 'Sm4 Th8 Ru4'
_cell_length_a 6.3860
_cell_length_b 7.2544
_cell_length_c 9.8420
_cell_angle_alpha 90.00
_cell_angle_beta 90.00
_cell_angle_gamma 90.00
_symmetry_space_group_name_H-M 'P 1'
_symmetry_Int_Tables_number 1
_symmetry_space_group_name_Hall 'P 1'
loop_
_atom_site_label
_atom_site_type_symbol
_atom_site_fract_x
_atom_site_fract_y
_atom_site_fract_z
Th1 Th 0.8376 0.3275 0.9375
Sm1 Sm 0.1454 0.9614 0.7500
Ru1 Ru 0.3791 0.8883 0.2500
Th2 Th 0.6624 0.8275 0.5625
Ru2 Ru 0.1209 0.3883 0.2500
Sm2 Sm 0.8546 0.0386 0.2500
Th3 Th 0.1624 0.6725 0.4375
Th4 Th 0.3376 0.1725 0.4375
Th5 Th 0.6624 0.8275 0.9375
Sm3 Sm 0.6454 0.5386 0.2500
Ru3 Ru 0.6209 0.1117 0.7500
Th6 Th 0.1624 0.6725 0.0625
Th7 Th 0.3376 0.1725 0.0625
Ru4 Ru 0.8791 0.6117 0.7500
Th8 Th 0.8376 0.3275 0.5625
Sm4 Sm 0.3546 0.4614 0.7500
```

Summary:
The space group is Pnma. For the total magnetization, the calculation gives 0.000 μB/f.u. Its final energy is -120.00 eV/cell. The value obtained for the formation energy is -0.291 eV per atom.

Here is an optimized crystal structure of SmTh2Ru from Alexandria. Energies are from PBE-GGA.

```
data_SmTh2Ru
_chemical_formula_sum 'Sm1 Th2 Ru1'
_cell_length_a 3.8376
_cell_length_b 3.8376
_cell_length_c 10.4766
_cell_angle_alpha 79.45
_cell_angle_beta 79.45
_cell_angle_gamma 60.00
_symmetry_space_group_name_H-M 'P 1'
_symmetry_Int_Tables_number 1
_symmetry_space_group_name_Hall 'P 1'
loop_
_atom_site_label
_atom_site_type_symbol
_atom_site_fract_x
_atom_site_fract_y
_atom_site_fract_z
Sm1 Sm 0.0000 0.0000 0.0000
Ru1 Ru 0.5000 0.5000 0.5000
Th1 Th 0.1117 0.1117 0.6648
Th2 Th 0.8883 0.8883 0.3352
```

Summary:
The space group is R-3m. For the total magnetization, the calculation gives 0.000 μB/f.u. Its final energy is -28.63 eV/cell. The value obtained for the formation energy is 0.051 eV per atom.

Here is an optimized crystal structure of SmTh2Ru from Alexandria. Energies are from PBE-GGA.

```
data_SmTh2Ru
_chemical_formula_sum 'Sm1 Th2 Ru1'
_cell_length_a 3.9645
_cell_length_b 3.9645
_cell_length_c 9.3512
_cell_angle_alpha 77.76
_cell_angle_beta 77.76
_cell_angle_gamma 60.00
_symmetry_space_group_name_H-M 'P 1'
_symmetry_Int_Tables_number 1
_symmetry_space_group_name_Hall 'P 1'
loop_
_atom_site_label
_atom_site_type_symbol
_atom_site_fract_x
_atom_site_fract_y
_atom_site_fract_z
Th1 Th 0.2738 0.2738 0.1786
Th2 Th 0.0601 0.0601 0.8197
Ru1 Ru 0.6661 0.6661 0.0018
Sm1 Sm 0.5000 0.5000 0.4999
```

Summary:
The space group is R3m. For the total magnetization, the calculation gives 0.000 μB/f.u. Its final energy is -29.49 eV/cell. The value obtained for the formation energy is -0.165 eV per atom.